Entry 1:
# Na2SmPa2Te6 | Alexandria | GGA-PBE | relaxed
# SG = C2/m, No. 12
# Calculated volume = 386.33 Å³ per cell
# Total DFT energy (no corrections) = -5.11 eV/atom
data_Na2SmPa2Te6
_chemical_formula_sum 'Na2 Sm1 Pa2 Te6'
_symmetry_space_group_name_H-M 'P 1'
_symmetry_Int_Tables_number 1
_cell_length_a 7.6112
_cell_length_b 7.6112
_cell_length_c 8.1120
_cell_angle_alpha 98.86
_cell_angle_beta 98.86
_cell_angle_gamma 120.19
loop_
_symmetry_equiv_pos_as_xyz
'x,y,z'
loop_
_atom_site_label
_atom_site_type_symbol
_atom_site_fract_x
_atom_site_fract_y
_atom_site_fract_z
Na1 Na 0.1637 0.8363 0.0000
Na2 Na 0.8363 0.1637 0.0000
Sm1 Sm 0.0000 0.0000 0.5000
Pa1 Pa 0.3337 0.6663 0.5000
Pa2 Pa 0.6663 0.3337 0.5000
Te1 Te 0.0791 0.4164 0.7358
Te2 Te 0.2633 0.2633 0.2631
Te3 Te 0.4164 0.0791 0.7358
Te4 Te 0.5836 0.9209 0.2642
Te5 Te 0.7367 0.7367 0.7369
Te6 Te 0.9209 0.5836 0.2642


Entry 2:
# Na3SmPa2Te6 | Alexandria | GGA-PBE | relaxed
# SG = C2/m, No. 12
# Calculated volume = 387.02 Å³ per cell
# Total DFT energy (no corrections) = -4.88 eV/atom
data_Na3SmPa2Te6
_chemical_formula_sum 'Na3 Sm1 Pa2 Te6'
_symmetry_space_group_name_H-M 'P 1'
_symmetry_Int_Tables_number 1
_cell_length_a 7.5911
_cell_length_b 7.5911
_cell_length_c 8.1587
_cell_angle_alpha 98.93
_cell_angle_beta 98.93
_cell_angle_gamma 120.00
loop_
_symmetry_equiv_pos_as_xyz
'x,y,z'
loop_
_atom_site_label
_atom_site_type_symbol
_atom_site_fract_x
_atom_site_fract_y
_atom_site_fract_z
Na1 Na 0.0000 0.0000 0.0000
Na2 Na 0.3358 0.6642 0.0000
Na3 Na 0.6642 0.3358 0.0000
Sm1 Sm 0.5000 0.5000 0.5000
Pa1 Pa 0.1670 0.8330 0.5000
Pa2 Pa 0.8330 0.1670 0.5000
Te1 Te 0.0832 0.4200 0.2604
Te2 Te 0.2424 0.2424 0.7387
Te3 Te 0.4200 0.0832 0.2604
Te4 Te 0.5800 0.9168 0.7396
Te5 Te 0.7576 0.7576 0.2613
Te6 Te 0.9168 0.5800 0.7396


Entry 3:
# Na2PaSn9 | Alexandria | GGA-PBE | relaxed
# SG = P4/mmm, No. 123
# Calculated volume = 312.45 Å³ per cell
# Energy relative to the elements = -0.15 eV per atom
data_Na2PaSn9
_chemical_formula_sum 'Na2 Pa1 Sn9'
_symmetry_space_group_name_H-M 'P 1'
_symmetry_Int_Tables_number 1
_cell_length_a 4.6454
_cell_length_b 4.6454
_cell_length_c 14.4791
_cell_angle_alpha 90.00
_cell_angle_beta 90.00
_cell_angle_gamma 90.00
loop_
_symmetry_equiv_pos_as_xyz
'x,y,z'
loop_
_atom_site_label
_atom_site_type_symbol
_atom_site_fract_x
_atom_site_fract_y
_atom_site_fract_z
Na1 Na 0.0000 0.0000 0.1703
Na2 Na 0.0000 0.0000 0.8297
Pa1 Pa 0.0000 0.0000 0.5000
Sn1 Sn 0.0000 0.5000 0.0000
Sn2 Sn 0.0000 0.5000 0.3344
Sn3 Sn 0.0000 0.5000 0.6656
Sn4 Sn 0.5000 0.0000 0.0000
Sn5 Sn 0.5000 0.0000 0.3344
Sn6 Sn 0.5000 0.0000 0.6656
Sn7 Sn 0.5000 0.5000 0.1667
Sn8 Sn 0.5000 0.5000 0.5000
Sn9 Sn 0.5000 0.5000 0.8333


Entry 4:
# Na3Sr2PaTe6 | Alexandria | GGA-PBE | relaxed
# SG = C2/m, No. 12
# Calculated volume = 418.18 Å³ per cell
# Total DFT energy (no corrections) = -4.18 eV/atom
data_Na3Sr2PaTe6
_chemical_formula_sum 'Na3 Sr2 Pa1 Te6'
_symmetry_space_group_name_H-M 'P 1'
_symmetry_Int_Tables_number 1
_cell_length_a 8.0500
_cell_length_b 8.0500
_cell_length_c 7.9333
_cell_angle_alpha 99.87
_cell_angle_beta 99.87
_cell_angle_gamma 120.01
loop_
_symmetry_equiv_pos_as_xyz
'x,y,z'
loop_
_atom_site_label
_atom_site_type_symbol
_atom_site_fract_x
_atom_site_fract_y
_atom_site_fract_z
Na1 Na 0.0000 0.0000 0.0000
Na2 Na 0.3285 0.6715 0.0000
Na3 Na 0.6715 0.3285 0.0000
Sr1 Sr 0.1665 0.8335 0.5000
Sr2 Sr 0.8335 0.1665 0.5000
Pa1 Pa 0.5000 0.5000 0.5000
Te1 Te 0.1124 0.4198 0.2593
Te2 Te 0.2746 0.2746 0.7370
Te3 Te 0.4198 0.1124 0.2593
Te4 Te 0.5802 0.8876 0.7407
Te5 Te 0.7254 0.7254 0.2630
Te6 Te 0.8876 0.5802 0.7407


Entry 5:
# Na2TbPa2Te6 | Alexandria | GGA-PBE | relaxed
# SG = C2/m, No. 12
# Calculated volume = 382.66 Å³ per cell
# Total DFT energy (no corrections) = -5.10 eV/atom
data_Na2TbPa2Te6
_chemical_formula_sum 'Na2 Tb1 Pa2 Te6'
_symmetry_space_group_name_H-M 'P 1'
_symmetry_Int_Tables_number 1
_cell_length_a 7.5664
_cell_length_b 7.5664
_cell_length_c 8.1237
_cell_angle_alpha 98.87
_cell_angle_beta 98.87
_cell_angle_gamma 120.11
loop_
_symmetry_equiv_pos_as_xyz
'x,y,z'
loop_
_atom_site_label
_atom_site_type_symbol
_atom_site_fract_x
_atom_site_fract_y
_atom_site_fract_z
Na1 Na 0.1651 0.8349 0.0000
Na2 Na 0.8349 0.1651 0.0000
Tb1 Tb 0.0000 0.0000 0.5000
Pa1 Pa 0.3332 0.6668 0.5000
Pa2 Pa 0.6668 0.3332 0.5000
Te1 Te 0.0801 0.4123 0.7352
Te2 Te 0.2587 0.2587 0.2650
Te3 Te 0.4123 0.0801 0.7352
Te4 Te 0.5877 0.9199 0.2648
Te5 Te 0.7413 0.7413 0.7350
Te6 Te 0.9199 0.5877 0.2648


Entry 6:
# Na4Tb3PaTe8 | Alexandria | GGA-PBE | relaxed
# SG = R-3m, No. 166
# Calculated volume = 515.21 Å³ per cell
# Total DFT energy (no corrections) = -4.55 eV/atom
data_Na4Tb3PaTe8
_chemical_formula_sum 'Na4 Tb3 Pa1 Te8'
_symmetry_space_group_name_H-M 'P 1'
_symmetry_Int_Tables_number 1
_cell_length_a 9.1674
_cell_length_b 9.1674
_cell_length_c 9.1674
_cell_angle_alpha 57.64
_cell_angle_beta 57.64
_cell_angle_gamma 57.64
loop_
_symmetry_equiv_pos_as_xyz
'x,y,z'
loop_
_atom_site_label
_atom_site_type_symbol
_atom_site_fract_x
_atom_site_fract_y
_atom_site_fract_z
Na1 Na 0.0000 0.0000 0.0000
Na2 Na 0.0000 0.5000 0.5000
Na3 Na 0.5000 0.0000 0.5000
Na4 Na 0.5000 0.5000 0.0000
Tb1 Tb 0.0000 0.0000 0.5000
Tb2 Tb 0.0000 0.5000 0.0000
Tb3 Tb 0.5000 0.0000 0.0000
Pa1 Pa 0.5000 0.5000 0.5000
Te1 Te 0.2444 0.7456 0.7456
Te2 Te 0.2446 0.2446 0.2446
Te3 Te 0.2544 0.2544 0.7556
Te4 Te 0.2544 0.7556 0.2544
Te5 Te 0.7456 0.2444 0.7456
Te6 Te 0.7456 0.7456 0.2444
Te7 Te 0.7554 0.7554 0.7554
Te8 Te 0.7556 0.2544 0.2544


Entry 7:
# NaPaTc | Alexandria | GGA-PBE | relaxed
# SG = C2/m, No. 12
# Calculated volume = 163.42 Å³ per cell
# Energy relative to the elements = 0.05 eV per atom
data_NaPaTc
_chemical_formula_sum 'Na2 Pa2 Tc2'
_symmetry_space_group_name_H-M 'P 1'
_symmetry_Int_Tables_number 1
_cell_length_a 3.7233
_cell_length_b 3.7233
_cell_length_c 11.9911
_cell_angle_alpha 97.46
_cell_angle_beta 97.46
_cell_angle_gamma 88.76
loop_
_symmetry_equiv_pos_as_xyz
'x,y,z'
loop_
_atom_site_label
_atom_site_type_symbol
_atom_site_fract_x
_atom_site_fract_y
_atom_site_fract_z
Na1 Na 0.1888 0.1888 0.3808
Na2 Na 0.8112 0.8112 0.6192
Pa1 Pa 0.2956 0.2956 0.1062
Pa2 Pa 0.7044 0.7044 0.8938
Tc1 Tc 0.1972 0.1972 0.8528
Tc2 Tc 0.8028 0.8028 0.1472


Entry 8:
# Na2Pa2Te7 | Alexandria | GGA-PBE | relaxed
# SG = Cmmm, No. 65
# Calculated volume = 413.73 Å³ per cell
# Total DFT energy (no corrections) = -4.66 eV/atom
data_Na2Pa2Te7
_chemical_formula_sum 'Na2 Pa2 Te7'
_symmetry_space_group_name_H-M 'P 1'
_symmetry_Int_Tables_number 1
_cell_length_a 7.0831
_cell_length_b 7.0831
_cell_length_c 8.3290
_cell_angle_alpha 90.00
_cell_angle_beta 90.00
_cell_angle_gamma 98.07
loop_
_symmetry_equiv_pos_as_xyz
'x,y,z'
loop_
_atom_site_label
_atom_site_type_symbol
_atom_site_fract_x
_atom_site_fract_y
_atom_site_fract_z
Na1 Na 0.2501 0.2501 0.0000
Na2 Na 0.7499 0.7499 0.0000
Pa1 Pa 0.2260 0.7740 0.5000
Pa2 Pa 0.7740 0.2260 0.5000
Te1 Te 0.0000 0.0000 0.2686
Te2 Te 0.0000 0.0000 0.7314
Te3 Te 0.0000 0.5000 0.2581
Te4 Te 0.0000 0.5000 0.7419
Te5 Te 0.5000 0.0000 0.2581
Te6 Te 0.5000 0.0000 0.7419
Te7 Te 0.5000 0.5000 0.5000